Here is a relaxed structure of PmZnAu from the Alexandria database. Energies are from PBE.

```
PmZnAu
1.0
-3.037 4.011 -0.776
-2.065 0.779 -4.586
-6.362 -1.633 -0.236
Au Pm Zn
2 2 2
Direct
0.219 0.219 0.342
0.781 0.781 0.658
0.397 0.397 0.809
0.603 0.603 0.191
0.927 0.927 0.218
0.073 0.073 0.782
```

The excess energy over the best structure of this formula in the dataset comes out at 0.157 eV/atom. Its total magnetic moment is 0.00 μB/atom. As for the formation energy: -496.2 meV/atom.